1.
V2Mo3W2 | PBE | relaxed

The formation energy comes out at -73.6 kJ/mol of formula units. As for the energy above the most stable polymorph in this dataset: 0 meV/atom.

Cell: 9.392 4.415 5.179 Å, 90.00 95.64 90.00°
Space group C2/m (No. 12)
Asymmetric unit:
V  0.216  0.000  0.356 [4 per cell]
Mo  0.000  0.500  0.500 [2 per cell]
Mo  0.144  0.500  0.075 [4 per cell]
W  0.073  0.000  0.784 [4 per cell]

2.
V4MoW2 | PBE | relaxed

The formation energy comes out at 229.4 kJ/mol of formula units. As for the energy above the most stable polymorph in this dataset: 0 meV/atom.

Cell: 6.096 6.096 6.036 Å, 90.00 90.00 90.00°
Space group I4/mmm (No. 139)
Asymmetric unit:
V  0.250  0.250  0.250 [8 per cell]
Mo  0.000  0.000  0.000 [2 per cell]
W  0.000  0.500  0.000 [4 per cell]

3.
V4MoW3 | PBE | relaxed

The formation energy comes out at 110.2 kJ/mol of formula units. As for the energy above the most stable polymorph in this dataset: 234 meV/atom.

Cell: 17.899 3.040 4.451 Å, 90.00 90.10 90.00°
Space group C2/m (No. 12)
Asymmetric unit:
V  0.127  0.000  0.251 [4 per cell]
V  0.128  0.500  0.749 [4 per cell]
Mo  0.000  0.000  0.000 [2 per cell]
W  0.000  0.500  0.500 [2 per cell]
W  0.250  0.000  0.750 [4 per cell]

4.
V7MoW3 | PBE | relaxed

The formation energy comes out at 506.9 kJ/mol of formula units. As for the energy above the most stable polymorph in this dataset: 33 meV/atom.

Cell: 8.666 9.143 4.680 Å, 90.00 113.25 90.00°
Space group C2/m (No. 12)
Asymmetric unit:
V  0.000  0.000  0.000 [2 per cell]
V  0.177  0.280  0.670 [8 per cell]
V  0.196  0.500  0.165 [4 per cell]
Mo  0.000  0.000  0.500 [2 per cell]
W  0.000  0.271  0.000 [4 per cell]
W  0.000  0.500  0.500 [2 per cell]

5.
V5Mo6W2 | PBE | relaxed

The formation energy comes out at 344.7 kJ/mol of formula units.

Cell: 9.029 14.641 3.066 Å, 90.00 90.00 90.00°
Space group Pbam (No. 55)
Asymmetric unit:
V  0.000  0.000  0.000 [2 per cell]
V  0.048  0.263  0.000 [4 per cell]
V  0.188  0.580  0.000 [4 per cell]
Mo  0.048  0.417  0.500 [4 per cell]
Mo  0.056  0.128  0.500 [4 per cell]
Mo  0.210  0.893  0.000 [4 per cell]
W  0.194  0.738  0.500 [4 per cell]

6.
V7MoW3 | PBE | relaxed

The formation energy comes out at 471.9 kJ/mol of formula units. As for the energy above the most stable polymorph in this dataset: 0 meV/atom.

Cell: 2.592 18.723 13.781 Å, 90.00 90.00 90.00°
Space group Cmcm (No. 63)
Asymmetric unit:
V  0.000  0.001  0.084 [8 per cell]
V  0.000  0.119  0.149 [8 per cell]
V  0.000  0.138  0.750 [4 per cell]
V  0.000  0.245  0.082 [8 per cell]
Mo  0.000  0.493  0.250 [4 per cell]
W  0.000  0.273  0.750 [4 per cell]
W  0.000  0.377  0.038 [8 per cell]